[1]
A plane-wave DFT calculation with GGA-PBE was carried out for Ti2CrHRh after structural relaxation.

Lattice parameters (Å, degrees): 4.2996 4.2996 3.2323 90.00 90.00 90.00
With the nearest neighbours (Å) after each atom.
Atoms (fractional coordinates):
Ti1 0.0000 0.5000 0.0000  2 H 2.15
Ti2 0.5000 0.0000 0.0000  2 H 2.15
Cr1 0.0000 0.0000 0.5000  2 H 1.62
H1 0.0000 0.0000 0.0000  2 Cr 1.62
Rh1 0.5000 0.5000 0.5000  8 Ti 2.69

Calculated values
The value obtained for the volume is 11.95 Å³/atom. As for the space-group type: P4/mmm. As for the total energy: -38.1 eV per cell. The calculation puts the energy above the most stable polymorph in this dataset at 0.00 eV per formula unit. For the size of the total moment, the calculation gives 0.0 μB per formula unit.

***

[2]
A plane-wave DFT calculation with GGA-PBE was carried out for Ti2CrHRh after structural relaxation.

Lattice parameters (Å, degrees): 4.2547 4.2547 3.4175 90.00 90.00 90.00
With the nearest neighbours (Å) after each atom.
Atoms (fractional coordinates):
Ti1 0.0000 0.5000 0.0000  2 H 2.13
Ti2 0.5000 0.0000 0.0000  2 H 2.13
Cr1 0.0000 0.0000 0.5000  8 Ti 2.73, 4 Rh 3.01
H1 0.5000 0.5000 0.0000  2 Rh 1.71
Rh1 0.5000 0.5000 0.5000  2 H 1.71

Calculated values
The value obtained for the volume is 12.37 Å³/atom. As for the space-group type: P4/mmm. As for the total energy: -37.5 eV per cell. The calculation puts the energy above the most stable polymorph in this dataset at 0.64 eV per formula unit. For the size of the total moment, the calculation gives 0.8 μB per formula unit.

***

[3]
A plane-wave DFT calculation with GGA-PBE was carried out for Cr2HRhW after structural relaxation.

Lattice parameters (Å, degrees): 3.7920 3.7920 3.8956 90.00 90.00 90.00
With the nearest neighbours (Å) after each atom.
Atoms (fractional coordinates):
Cr1 0.0000 0.5000 0.0000  2 H 1.90
Cr2 0.5000 0.0000 0.0000  2 H 1.90
H1 0.0000 0.0000 0.0000  4 Cr 1.90, 2 W 1.95
Rh1 0.5000 0.5000 0.5000  4 W 2.68, 8 Cr 2.72
W1 0.0000 0.0000 0.5000  2 H 1.95

Calculated values
The value obtained for the volume is 11.20 Å³/atom. As for the space-group type: P4/mmm. As for the total energy: -42.5 eV per cell. The calculation puts the energy above the most stable polymorph in this dataset at 0.05 eV per formula unit. For the size of the total moment, the calculation gives 0.0 μB per formula unit.

***

[4]
A plane-wave DFT calculation with GGA-PBE was carried out for Cr2HRhW after structural relaxation.

Lattice parameters (Å, degrees): 3.8374 3.8374 3.7912 90.00 90.00 90.00
With the nearest neighbours (Å) after each atom.
Atoms (fractional coordinates):
Cr1 0.0000 0.5000 0.0000  2 H 1.92
Cr2 0.5000 0.0000 0.0000  2 H 1.92
H1 0.0000 0.0000 0.0000  2 Rh 1.90, 4 Cr 1.92
Rh1 0.0000 0.0000 0.5000  2 H 1.90
W1 0.5000 0.5000 0.5000  8 Cr 2.70, 4 Rh 2.71

Calculated values
The value obtained for the volume is 11.17 Å³/atom. As for the space-group type: P4/mmm. As for the total energy: -42.5 eV per cell. The calculation puts the energy above the most stable polymorph in this dataset at 0.00 eV per formula unit. For the size of the total moment, the calculation gives 0.0 μB per formula unit.

***

[5]
A plane-wave DFT calculation with GGA-PBE was carried out for CrHRh2W after structural relaxation.

Lattice parameters (Å, degrees): 3.8265 3.8265 4.0240 90.00 90.00 90.00
With the nearest neighbours (Å) after each atom.
Atoms (fractional coordinates):
Cr1 0.0000 0.0000 0.0000  4 W 2.71, 8 Rh 2.78
H1 0.5000 0.5000 0.5000  4 Rh 1.91, 2 W 2.01
Rh1 0.0000 0.5000 0.5000  2 H 1.91
Rh2 0.5000 0.0000 0.5000  2 H 1.91
W1 0.5000 0.5000 0.0000  2 H 2.01

Calculated values
The value obtained for the volume is 11.78 Å³/atom. As for the space-group type: P4/mmm. As for the total energy: -40.7 eV per cell. The calculation puts the energy above the most stable polymorph in this dataset at 0.40 eV per formula unit. For the size of the total moment, the calculation gives 0.9 μB per formula unit.

***

[6]
A plane-wave DFT calculation with GGA-PBE was carried out for CrHRh2W after structural relaxation.

Lattice parameters (Å, degrees): 3.8378 3.8378 3.9530 90.00 90.00 90.00
With the nearest neighbours (Å) after each atom.
Atoms (fractional coordinates):
Cr1 0.0000 0.0000 0.0000  2 H 1.98
H1 0.0000 0.0000 0.5000  4 Rh 1.92, 2 Cr 1.98
Rh1 0.0000 0.5000 0.5000  2 H 1.92
Rh2 0.5000 0.0000 0.5000  2 H 1.92
W1 0.5000 0.5000 0.0000  4 Cr 2.71, 8 Rh 2.75

Calculated values
The value obtained for the volume is 11.64 Å³/atom. As for the space-group type: P4/mmm. As for the total energy: -41.1 eV per cell. The calculation puts the energy above the most stable polymorph in this dataset at 0.00 eV per formula unit. For the size of the total moment, the calculation gives 1.0 μB per formula unit.

***

[7]
A plane-wave DFT calculation with GGA-PBE was carried out for Zn2CrHRh after structural relaxation.

Lattice parameters (Å, degrees): 4.1060 4.1060 3.4991 90.00 90.00 90.00
With the nearest neighbours (Å) after each atom.
Atoms (fractional coordinates):
Zn1 0.0000 0.5000 0.0000  2 H 2.05
Zn2 0.5000 0.0000 0.0000  2 H 2.05
Cr1 0.0000 0.0000 0.5000  2 H 1.75
H1 0.0000 0.0000 0.0000  2 Cr 1.75
Rh1 0.5000 0.5000 0.5000  8 Zn 2.70, 4 Cr 2.90

Calculated values
The value obtained for the volume is 11.80 Å³/atom. As for the space-group type: P4/mmm. As for the total energy: -23.0 eV per cell. For the size of the total moment, the calculation gives 3.6 μB per formula unit.

***

[8]
A plane-wave DFT calculation with GGA-PBE was carried out for ZnCr2HRh after structural relaxation.

Lattice parameters (Å, degrees): 3.7032 3.7032 3.9796 90.00 90.00 90.00
With the nearest neighbours (Å) after each atom.
Atoms (fractional coordinates):
Zn1 0.0000 0.0000 0.0000  4 Rh 2.62, 8 Cr 2.72
Cr1 0.0000 0.5000 0.5000  2 H 1.85
Cr2 0.5000 0.0000 0.5000  2 H 1.85
H1 0.5000 0.5000 0.5000  4 Cr 1.85, 2 Rh 1.99
Rh1 0.5000 0.5000 0.0000  2 H 1.99

Calculated values
The value obtained for the volume is 10.92 Å³/atom. As for the space-group type: P4/mmm. As for the total energy: -30.8 eV per cell. For the size of the total moment, the calculation gives 2.7 μB per formula unit.

***

Q: Among the records above, which one has the highest size of the total moment?
A: Zn2CrHRh

***

Q: What is the formula in the sixth record?
A: CrHRh2W

***

Q: Which of these has the highest size of the total moment?
A: Zn2CrHRh

***

What did the fourth record say?
A plane-wave DFT calculation with GGA-PBE was carried out for Cr2HRhW after structural relaxation.

Lattice parameters (Å, degrees): 3.8374 3.8374 3.7912 90.00 90.00 90.00
With the nearest neighbours (Å) after each atom.
Atoms (fractional coordinates):
Cr1 0.0000 0.5000 0.0000  2 H 1.92
Cr2 0.5000 0.0000 0.0000  2 H 1.92
H1 0.0000 0.0000 0.0000  2 Rh 1.90, 4 Cr 1.92
Rh1 0.0000 0.0000 0.5000  2 H 1.90
W1 0.5000 0.5000 0.5000  8 Cr 2.70, 4 Rh 2.71

Calculated values
The value obtained for the volume is 11.17 Å³/atom. As for the space-group type: P4/mmm. As for the total energy: -42.5 eV per cell. The calculation puts the energy above the most stable polymorph in this dataset at 0.00 eV per formula unit. For the size of the total moment, the calculation gives 0.0 μB per formula unit.